The following is a DFT calculation (PBE) of an optimized crystal structure of RbGa2Pt2.

Output
uncorrected energy	-21.24	eV for the cell shown
DFT formation energy	-0.428	eV/atom
theoretical density	9.14	g/cm3

Lattice parameters (Å, degrees): 4.220 4.220 6.951 72.33 72.33 90.00
Positions (direct):
1 Ga 0.363 0.363 0.275
2 Ga 0.637 0.637 0.725
3 Rb 0.000 0.000 0.000
4 Pt 0.750 0.250 0.500
5 Pt 0.250 0.750 0.500